Computed, not measured: a geometry-optimized SrSmAu3 structure at the PBE-GGA level of DFT.

## Properties
M_tot, μB/cell: 0.0
Total DFT energy (no corrections), eV per atom: -4.03
Energy relative to the elements, eV/f.u.: -3.91
Mass density, g/cm³: 10.51

```
data_SrSmAu3
_chemical_formula_sum 'Sr4 Sm4 Au12'
_cell_length_a 3.934
_cell_length_b 28.636
_cell_length_c 4.649
_cell_angle_alpha 90.00
_cell_angle_beta 90.00
_cell_angle_gamma 90.00
_space_group_name_H-M_alt 'C m c m'
_space_group_IT_number 63
_space_group_name_Hall '-C 2c 2'
loop_
_atom_site_label
_atom_site_type_symbol
_atom_site_fract_x
_atom_site_fract_y
_atom_site_fract_z
Sr1 Sr 0.000 0.074 0.250
Sm1 Sm 0.000 0.205 0.750
Au1 Au 0.000 0.312 0.750
Au2 Au 0.000 0.376 0.250
Au3 Au 0.000 0.473 0.250
```